## 1
# Ac3Tl3In | the Alexandria database | PBE | relaxed
data_Ac3Tl3In
_cell_length_a 10.0454
_cell_length_b 10.0454
_cell_length_c 5.5381
_cell_angle_alpha 90.00
_cell_angle_beta 90.00
_cell_angle_gamma 120.00
_symmetry_space_group_name_H-M 'P 63/m'
_symmetry_Int_Tables_number 176
_symmetry_space_group_name_Hall '-P 6c'
loop_
_atom_site_label
_atom_site_fract_x
_atom_site_fract_y
_atom_site_fract_z
Ac1 0.0986 0.6555 0.2500
Tl1 0.0448 0.8231 0.7500
In1 0.3333 0.6667 0.7500
# V: 34.570 Å³ per atom
# spin magnetization: 0.0 Bohr magnetons per cell



## 2
# Ac3Tl3In | the Alexandria database | PBE | relaxed
data_Ac3Tl3In
_cell_length_a 12.557
_cell_length_b 4.982
_cell_length_c 16.356
_cell_angle_alpha 90.00
_cell_angle_beta 108.57
_cell_angle_gamma 90.00
_symmetry_space_group_name_H-M 'C 1 2/m 1'
_symmetry_Int_Tables_number 12
loop_
_symmetry_equiv_pos_as_xyz
'x,y,z'
'-x,-y,-z'
'-x,y,-z'
'x,-y,z'
'x+1/2,y+1/2,z'
'-x+1/2,-y+1/2,-z'
'-x+1/2,y+1/2,-z'
'x+1/2,-y+1/2,z'
loop_
_atom_site_label
_atom_site_fract_x
_atom_site_fract_y
_atom_site_fract_z
Ac1 0.017 0.000 0.381
Ac2 0.106 0.000 0.925
Ac3 0.232 0.000 0.227
Tl1 0.007 0.500 0.227
Tl2 0.114 0.500 0.077
Tl3 0.144 0.500 0.542
In1 0.225 0.500 0.381
# V: 34.642 Å³ per atom
# spin magnetization: 0.0 Bohr magnetons per cell



Which is most stable, and by how much? 2, by 10.0 kJ/mol of atoms.



## 1
# Ac4TlIn | the Alexandria database | PBE | relaxed
data_Ac4TlIn
_cell_length_a 8.253
_cell_length_b 8.253
_cell_length_c 7.026
_cell_angle_alpha 90.00
_cell_angle_beta 90.00
_cell_angle_gamma 90.00
_symmetry_space_group_name_H-M 'P 4/m c c'
_symmetry_Int_Tables_number 124
_symmetry_space_group_name_Hall '-P 4 2c'
loop_
_atom_site_label
_atom_site_fract_x
_atom_site_fract_y
_atom_site_fract_z
Ac1 0.163 0.335 0.000
Tl1 0.500 0.500 0.250
In1 0.000 0.000 0.250
# V: 39.878 Å³ per atom
# spin magnetization: 7.1 Bohr magnetons per cell



## 2
# Ac4TlIn | the Alexandria database | PBE | relaxed
data_Ac4TlIn
_cell_length_a 9.775
_cell_length_b 5.647
_cell_length_c 9.809
_cell_angle_alpha 90.00
_cell_angle_beta 109.45
_cell_angle_gamma 90.00
_symmetry_space_group_name_H-M 'C 1 2/m 1'
_symmetry_Int_Tables_number 12
loop_
_symmetry_equiv_pos_as_xyz
'x,y,z'
'-x,-y,-z'
'-x,y,-z'
'x,-y,z'
'x+1/2,y+1/2,z'
'-x+1/2,-y+1/2,-z'
'-x+1/2,y+1/2,-z'
'x+1/2,-y+1/2,z'
loop_
_atom_site_label
_atom_site_fract_x
_atom_site_fract_y
_atom_site_fract_z
Ac1 0.124 0.000 0.373
Ac2 0.125 0.500 0.876
Tl1 0.000 0.500 0.500
In1 0.000 0.000 0.000
# V: 42.546 Å³ per atom
# spin magnetization: 0.2 Bohr magnetons per cell



Which is most stable, and by how much? 1, by 9.2 kJ/mol of atoms.